#w
Density functional theory data (GGA-PBE) for an optimized crystal structure of SrMgSe.

- calculated density (g/cm³) = 3.0
- total magnetic moment (μB/f.u.) = 0.000

Cell and atoms, written as POSCAR:
```
SrMgSe
1.0
0.000 3.736 3.736
3.736 0.000 3.736
3.736 3.736 0.000
Sr Mg Se
1 1 1
Direct
0.000 0.000 0.000 Sr
0.750 0.750 0.750 Mg
0.250 0.250 0.250 Se
```

#x
Density functional theory data (GGA-PBE) for an optimized crystal structure of SrMgSe.

- calculated density (g/cm³) = 3.0
- total magnetic moment (μB/f.u.) = 0.000

Cell and atoms, written as POSCAR:
```
SrMgSe
1.0
2.616 1.510 8.825
-2.616 1.510 8.825
0.000 -3.020 8.825
Sr Mg Se
2 2 2
Direct
0.101 0.101 0.101 Sr
0.899 0.899 0.899 Sr
0.319 0.319 0.319 Mg
0.681 0.681 0.681 Mg
0.219 0.219 0.219 Se
0.781 0.781 0.781 Se
```

#y
Density functional theory data (GGA-PBE) for an optimized crystal structure of SrMgSe.

- calculated density (g/cm³) = 3.2
- total magnetic moment (μB/f.u.) = 0.383

Cell and atoms, written as POSCAR:
```
SrMgSe
1.0
0.000 3.690 3.690
3.690 0.000 3.690
3.690 3.690 0.000
Sr Mg Se
1 1 1
Direct
0.000 0.000 0.000 Sr
0.500 0.500 0.500 Mg
0.250 0.250 0.250 Se
```

#z
Density functional theory data (GGA-PBE) for an optimized crystal structure of SrMgSe.

- calculated density (g/cm³) = 3.8
- total magnetic moment (μB/f.u.) = 0.000

Cell and atoms, written as POSCAR:
```
SrMgSe
1.0
-1.859 1.859 6.093
1.859 -1.859 6.093
1.859 1.859 -6.093
Sr Mg Se
1 1 1
Direct
0.000 0.000 0.000 Sr
0.721 0.721 0.000 Mg
0.344 0.344 0.000 Se
```

The most stable of them is #x.

#w
Density functional theory data (GGA-PBE) for an optimized crystal structure of Mg3TaSe.

- calculated density (g/cm³) = 3.5
- total magnetic moment (μB/f.u.) = 2.963

Cell and atoms, written as POSCAR:
```
Mg3TaSe
1.0
5.430 0.000 0.000
0.000 5.430 0.000
0.000 0.000 5.430
Mg Ta Se
3 1 1
Direct
0.000 0.000 0.500 Mg
0.000 0.500 0.000 Mg
0.500 0.000 0.000 Mg
0.000 0.000 0.000 Ta
0.500 0.500 0.500 Se
```

#x
Density functional theory data (GGA-PBE) for an optimized crystal structure of Mg3TaSe.

- calculated density (g/cm³) = 4.5
- total magnetic moment (μB/f.u.) = 2.988

Cell and atoms, written as POSCAR:
```
Mg3TaSe
1.0
4.961 0.000 0.000
0.000 4.961 0.000
0.000 0.000 4.961
Mg Ta Se
3 1 1
Direct
0.000 0.000 0.500 Mg
0.000 0.500 0.000 Mg
0.500 0.000 0.000 Mg
0.500 0.500 0.500 Ta
0.000 0.000 0.000 Se
```

The most stable of them is #x.

#w
Density functional theory data (GGA-PBE) for an optimized crystal structure of MgTaSe3.

- calculated density (g/cm³) = 6.3
- total magnetic moment (μB/f.u.) = 1.384

Cell and atoms, written as POSCAR:
```
MgTaSe3
1.0
4.877 0.000 0.000
0.000 4.877 0.000
0.000 0.000 4.877
Mg Ta Se
1 1 3
Direct
0.000 0.000 0.000 Mg
0.500 0.500 0.500 Ta
0.000 0.000 0.500 Se
0.000 0.500 0.000 Se
0.500 0.000 0.000 Se
```

#x
Density functional theory data (GGA-PBE) for an optimized crystal structure of MgTaSe3.

- calculated density (g/cm³) = 5.7
- total magnetic moment (μB/f.u.) = 0.000

Cell and atoms, written as POSCAR:
```
MgTaSe3
1.0
5.056 0.000 0.000
0.000 5.056 0.000
0.000 0.000 5.056
Mg Ta Se
1 1 3
Direct
0.000 0.000 0.000 Mg
0.500 0.500 0.500 Ta
0.000 0.500 0.500 Se
0.500 0.000 0.500 Se
0.500 0.500 0.000 Se
```

The most stable of them is #x.

#w
Density functional theory data (GGA-PBE) for an optimized crystal structure of Tb2MgSe.

- calculated density (g/cm³) = 6.2
- total magnetic moment (μB/f.u.) = 0.001

Cell and atoms, written as POSCAR:
```
Tb2MgSe
1.0
1.932 1.115 8.702
-1.932 1.115 8.702
0.000 -2.231 8.702
Tb Mg Se
2 1 1
Direct
0.000 0.000 0.000 Tb
0.198 0.198 0.198 Tb
0.432 0.432 0.432 Mg
0.600 0.600 0.600 Se
```

#x
Density functional theory data (GGA-PBE) for an optimized crystal structure of Tb2MgSe.

- calculated density (g/cm³) = 5.6
- total magnetic moment (μB/f.u.) = 0.000

Cell and atoms, written as POSCAR:
```
Tb2MgSe
1.0
1.887 1.090 10.126
-1.887 1.090 10.126
0.000 -2.179 10.126
Tb Mg Se
2 1 1
Direct
0.108 0.108 0.108 Tb
0.892 0.892 0.892 Tb
0.000 0.000 0.000 Mg
0.500 0.500 0.500 Se
```

The most stable of them is #w.

#w
Density functional theory data (GGA-PBE) for an optimized crystal structure of Tb2MgSe4.

- calculated density (g/cm³) = 6.6
- total magnetic moment (μB/f.u.) = 0.000

Cell and atoms, written as POSCAR:
```
Tb2MgSe4
1.0
-4.294 4.294 4.488
4.294 -4.294 4.488
4.294 4.294 -4.488
Tb Mg Se
4 2 8
Direct
0.004 0.625 0.879 Tb
0.375 0.254 0.379 Tb
0.746 0.125 0.121 Tb
0.875 0.996 0.621 Tb
0.250 0.750 0.500 Mg
0.500 0.500 0.000 Mg
0.008 0.878 0.263 Se
0.122 0.384 0.129 Se
0.134 0.372 0.629 Se
0.255 0.992 0.871 Se
0.495 0.866 0.237 Se
0.616 0.745 0.737 Se
0.628 0.258 0.763 Se
0.742 0.505 0.371 Se
```

#x
Density functional theory data (GGA-PBE) for an optimized crystal structure of Tb2MgSe4.

- calculated density (g/cm³) = 5.4
- total magnetic moment (μB/f.u.) = 0.000

Cell and atoms, written as POSCAR:
```
Tb2MgSe4
1.0
14.209 0.000 0.000
0.000 8.275 0.000
0.000 0.000 6.865
Tb Mg Se
8 4 16
Direct
0.000 0.000 0.000 Tb
0.000 0.500 0.000 Tb
0.234 0.250 0.495 Tb
0.266 0.750 0.995 Tb
0.500 0.000 0.500 Tb
0.500 0.500 0.500 Tb
0.734 0.250 0.005 Tb
0.766 0.750 0.505 Tb
0.093 0.750 0.413 Mg
0.407 0.250 0.913 Mg
0.593 0.750 0.087 Mg
0.907 0.250 0.587 Mg
0.073 0.250 0.748 Se
0.090 0.750 0.783 Se
0.170 0.507 0.235 Se
0.170 0.993 0.235 Se
0.330 0.007 0.735 Se
0.330 0.493 0.735 Se
0.410 0.250 0.283 Se
0.427 0.750 0.248 Se
0.573 0.250 0.752 Se
0.590 0.750 0.717 Se
0.670 0.507 0.265 Se
0.670 0.993 0.265 Se
0.830 0.007 0.765 Se
0.830 0.493 0.765 Se
0.910 0.250 0.217 Se
0.927 0.750 0.252 Se
```

#y
Density functional theory data (GGA-PBE) for an optimized crystal structure of Tb2MgSe4.

- calculated density (g/cm³) = 5.1
- total magnetic moment (μB/f.u.) = 0.000

Cell and atoms, written as POSCAR:
```
Tb2MgSe4
1.0
7.690 0.000 0.000
-0.388 9.184 0.000
-1.371 -2.188 12.140
Tb Mg Se
8 4 16
Direct
0.127 0.439 0.325 Tb
0.141 0.979 0.359 Tb
0.247 0.123 0.994 Tb
0.363 0.294 0.653 Tb
0.637 0.706 0.347 Tb
0.753 0.877 0.006 Tb
0.859 0.021 0.641 Tb
0.873 0.561 0.675 Tb
0.260 0.588 0.984 Mg
0.364 0.792 0.696 Mg
0.636 0.208 0.304 Mg
0.740 0.412 0.016 Mg
0.082 0.966 0.139 Se
0.094 0.396 0.099 Se
0.198 0.543 0.602 Se
0.210 0.004 0.606 Se
0.285 0.713 0.355 Se
0.352 0.240 0.403 Se
0.386 0.834 0.903 Se
0.401 0.349 0.880 Se
0.599 0.651 0.120 Se
0.614 0.166 0.097 Se
0.648 0.760 0.597 Se
0.715 0.287 0.645 Se
0.790 0.996 0.394 Se
0.802 0.457 0.398 Se
0.906 0.604 0.901 Se
0.918 0.034 0.861 Se
```

#z
Density functional theory data (GGA-PBE) for an optimized crystal structure of Tb2MgSe4.

- calculated density (g/cm³) = 5.4
- total magnetic moment (μB/f.u.) = 0.000

Cell and atoms, written as POSCAR:
```
Tb2MgSe4
1.0
0.000 5.866 5.866
5.866 0.000 5.866
5.866 5.866 0.000
Tb Mg Se
4 2 8
Direct
0.000 0.000 0.000 Tb
0.000 0.000 0.500 Tb
0.000 0.500 0.000 Tb
0.500 0.000 0.000 Tb
0.375 0.375 0.375 Mg
0.625 0.625 0.625 Mg
0.237 0.754 0.754 Se
0.246 0.246 0.246 Se
0.246 0.246 0.763 Se
0.246 0.763 0.246 Se
0.754 0.237 0.754 Se
0.754 0.754 0.237 Se
0.754 0.754 0.754 Se
0.763 0.246 0.246 Se
```

The most stable of them is #z.

#w
Density functional theory data (GGA-PBE) for an optimized crystal structure of Tb2MgSe4.

- calculated density (g/cm³) = 5.8
- total magnetic moment (μB/f.u.) = 0.000

Cell and atoms, written as POSCAR:
```
Tb2MgSe4
1.0
13.228 0.000 0.000
0.000 4.040 0.000
0.000 0.000 14.187
Tb Mg Se
8 4 16
Direct
0.117 0.250 0.075 Tb
0.140 0.250 0.702 Tb
0.360 0.750 0.202 Tb
0.383 0.750 0.575 Tb
0.617 0.250 0.425 Tb
0.640 0.250 0.798 Tb
0.860 0.750 0.298 Tb
0.883 0.750 0.925 Tb
0.110 0.750 0.458 Mg
0.390 0.250 0.958 Mg
0.610 0.750 0.042 Mg
0.890 0.250 0.542 Mg
0.005 0.750 0.618 Se
0.029 0.250 0.882 Se
0.225 0.250 0.248 Se
0.238 0.250 0.514 Se
0.262 0.750 0.014 Se
0.275 0.750 0.748 Se
0.471 0.750 0.382 Se
0.495 0.250 0.118 Se
0.505 0.750 0.882 Se
0.529 0.250 0.618 Se
0.725 0.250 0.252 Se
0.738 0.250 0.986 Se
0.762 0.750 0.486 Se
0.775 0.750 0.752 Se
0.971 0.750 0.118 Se
0.995 0.250 0.382 Se
```

#x
Density functional theory data (GGA-PBE) for an optimized crystal structure of Tb2MgSe4.

- calculated density (g/cm³) = 5.7
- total magnetic moment (μB/f.u.) = 0.000

Cell and atoms, written as POSCAR:
```
Tb2MgSe4
1.0
8.237 0.000 0.000
0.000 7.662 0.000
0.000 0.000 12.072
Tb Mg Se
8 4 16
Direct
0.060 0.250 0.186 Tb
0.062 0.750 0.482 Tb
0.438 0.250 0.982 Tb
0.440 0.750 0.686 Tb
0.560 0.250 0.314 Tb
0.562 0.750 0.018 Tb
0.938 0.250 0.518 Tb
0.940 0.750 0.814 Tb
0.178 0.750 0.096 Mg
0.322 0.250 0.596 Mg
0.678 0.750 0.404 Mg
0.822 0.250 0.904 Mg
0.113 0.250 0.949 Se
0.128 0.501 0.659 Se
0.128 0.999 0.659 Se
0.233 0.250 0.390 Se
0.267 0.750 0.890 Se
0.372 0.001 0.159 Se
0.372 0.499 0.159 Se
0.387 0.750 0.449 Se
0.613 0.250 0.551 Se
0.628 0.501 0.841 Se
0.628 0.999 0.841 Se
0.733 0.250 0.110 Se
0.767 0.750 0.610 Se
0.872 0.001 0.341 Se
0.872 0.499 0.341 Se
0.887 0.750 0.051 Se
```

The most stable of them is #w.